AlAg3: single point on PBEsol structure, meta-GGA SCAN.

Geometry as POSCAR:
```
AlAg3
1.0
-1.384 1.681 1.946
-1.413 -3.125 1.695
9.252 -0.418 6.941
Al Ag
2 6
Direct
0.000 0.000 0.186 Al
0.500 0.500 0.814 Al
0.000 0.000 0.694 Ag
0.500 0.500 0.564 Ag
0.000 0.000 0.436 Ag
0.500 0.500 0.306 Ag
0.500 0.500 0.065 Ag
0.000 0.000 0.935 Ag
```

Values from the calculation:
- E: -204.3 eV per cell
- Calculated density: 9.006 g/cm3
- Size of the total moment: 0.00 μB per atom
- Crystal system: orthorhombic
- Formation energy: -0.07 eV/atom